The following is a DFT calculation (PBE) of Rb3Te2Pt after structural relaxation.

- E_form (uncorrected): -57.52 kJ per mole of atoms
- Spin magnetization: 0.00 μB/cell

Cell lengths 8.955, 7.983, 9.267 Å; angles 115.52, 118.89, 90.00 degrees
Fractional coordinates of all 12 atoms:
Pt 0.000 0.250 0.000
Rb 0.500 0.250 0.000
Te 0.111 0.429 0.858
Rb 0.987 0.819 0.637
Rb 0.349 0.681 0.363
Te 0.747 0.929 0.858
Pt 0.000 0.750 0.000
Rb 0.013 0.181 0.363
Rb 0.651 0.319 0.637
Te 0.889 0.571 0.142
Te 0.253 0.071 0.142
Rb 0.500 0.750 0.000